# Y2Be2Si GGA-PBE optimized geometry
data_Y2Be2Si
_cell_length_a 6.4824
_cell_length_b 6.4824
_cell_length_c 4.3027
_cell_angle_alpha 90.00
_cell_angle_beta 90.00
_cell_angle_gamma 90.00
_space_group_name_H-M_alt 'P 4/m b m'
_space_group_IT_number 127
_space_group_name_Hall '-P 4 2ab'
loop_
_atom_site_label
_atom_site_fract_x
_atom_site_fract_y
_atom_site_fract_z
Y1 0.1750 0.3250 0.0000
Be1 0.1212 0.6212 0.5000
Si1 0.0000 0.0000 0.5000
# V: 180.8 Å³/cell
# formation energy from raw total energies: -22 kJ/mol of atoms
# magnetization: 0.000 μB/cell

---

# CaTlP2W GGA-PBE optimized geometry
data_CaTlP2W
_cell_length_a 5.1038
_cell_length_b 5.1038
_cell_length_c 5.5398
_cell_angle_alpha 90.00
_cell_angle_beta 90.00
_cell_angle_gamma 90.00
_space_group_name_H-M_alt 'P 4/m m m'
_space_group_IT_number 123
_space_group_name_Hall '-P 4 2'
loop_
_atom_site_label
_atom_site_fract_x
_atom_site_fract_y
_atom_site_fract_z
Ca1 0.0000 0.0000 0.0000
Tl1 0.0000 0.0000 0.5000
P1 0.0000 0.5000 0.5000
W1 0.5000 0.5000 0.0000
# V: 144.3 Å³/cell
# energy relative to the elements: 9.3 eV/f.u.
# magnetization: 3.644 μB/cell

---

# LaFe2Au2 GGA-PBE optimized geometry
data_LaFe2Au2
_cell_length_a 4.3185
_cell_length_b 4.3185
_cell_length_c 10.6297
_cell_angle_alpha 90.00
_cell_angle_beta 90.00
_cell_angle_gamma 90.00
_space_group_name_H-M_alt 'I 4/m m m'
_space_group_IT_number 139
_space_group_name_Hall '-I 4 2'
loop_
_atom_site_label
_atom_site_fract_x
_atom_site_fract_y
_atom_site_fract_z
La1 0.0000 0.0000 0.0000
Fe1 0.0000 0.0000 0.3951
Au1 0.0000 0.5000 0.2500
# V: 198.2 Å³/cell
# energy relative to the elements: -0.5 eV/f.u.
# magnetization: 9.555 μB/cell

---

Among the records above, which one has the highest V?
LaFe2Au2

---

V of number 2 (CaTlP2W)?
144.3 Å³/cell